Compound: AlTl2Cl
Source: Alexandria
Functional: PBE-GGA
Structure: relaxed

formation energy without anion corrections	-0.039	eV per atom
density of states at the Fermi level	0.033	states/eV/atom
magnetic moment	0.00	μB per cell
total energy	-2.62	eV/atom

abc: 6.3477 6.3477 8.5298
angles: 68.16 68.16 90.00
Last column: nearest neighbours and their distance in Å.
Sites, in units of the cell vectors:
Cl 0.7500 0.2500 0.5000  4 Tl 3.04
Cl 0.0000 0.0000 0.0000  4 Tl 3.04
Tl 0.8750 0.8319 0.7500  2 Al 2.74, 2 Cl 3.04
Al 0.5000 0.5000 0.0000  4 Tl 2.74
Tl 0.5819 0.1250 0.2500  2 Al 2.74, 2 Cl 3.04
Tl 0.3750 0.4181 0.7500  2 Al 2.74, 2 Cl 3.04
Al 0.2500 0.7500 0.5000  4 Tl 2.74
Tl 0.1681 0.6250 0.2500  2 Al 2.74, 2 Cl 3.04


Compound: AlTlCl
Source: Alexandria
Functional: PBE-GGA
Structure: relaxed

formation energy without anion corrections	0.021	eV per atom
density of states at the Fermi level	0.849	states/eV/atom
magnetic moment	0.00	μB per cell
total energy	-2.63	eV/atom

abc: 5.0332 5.0332 5.0332
angles: 60.00 60.00 60.00
Last column: nearest neighbours and their distance in Å.
Sites, in units of the cell vectors:
Cl 0.0000 0.0000 0.0000  4 Al 3.08
Tl 0.5000 0.5000 0.5000  4 Al 3.08
Al 0.2500 0.2500 0.2500  4 Tl 3.08, 4 Cl 3.08


Compound: AlTlCl2
Source: Alexandria
Functional: PBE-GGA
Structure: relaxed

formation energy without anion corrections	-0.600	eV per atom
density of states at the Fermi level	0.000	states/eV/atom
magnetic moment	0.00	μB per cell
total energy	-3.05	eV/atom

abc: 8.5037 8.5037 8.5037
angles: 28.51 28.51 28.51
Last column: nearest neighbours and their distance in Å.
Sites, in units of the cell vectors:
Tl 0.4978 0.4978 0.4978  3 Cl 2.89, 3 Al 3.24
Al 0.7432 0.7432 0.7432  3 Cl 2.68
Cl 0.0297 0.0297 0.0297  3 Al 2.68
Cl 0.2294 0.2294 0.2294  3 Tl 2.89